Here is Pr6AgS2Br3 after structural relaxation from the Alexandria database. Energies are from GGA-PBE.

The calculation puts the calculated volume at 28.1 Å³/atom. Its size of the total moment is 0.0 μB per formula unit. The value obtained for the formation energy without anion corrections is -15.51 eV per formula unit.

a = 7.100 Å, b = 7.100 Å, c = 8.060 Å
α = 98.35°, β = 98.35°, γ = 120.00°
Atoms (fractional coordinates):
1 Pr 0.074 0.429 0.786
2 Pr 0.215 0.215 0.209
3 Pr 0.429 0.074 0.786
4 Pr 0.571 0.926 0.214
5 Pr 0.785 0.785 0.791
6 Pr 0.926 0.571 0.214
7 Ag 0.500 0.500 0.000
8 S 0.168 0.832 0.000
9 S 0.832 0.168 0.000
10 Br 0.000 0.000 0.500
11 Br 0.341 0.659 0.500
12 Br 0.659 0.341 0.500